Record 1
InTe2Ru (GGA-PBEsol, optimized geometry); DOS(E_F) = 4.584 states/eV per cell; V = 23.4 A^3/atom; energy relative to the elements, uncorrected = 0.451 eV per atom; VASP energy = -4.601 eV per atom
1.0
4.955 0.002 0.003
-1.766 4.630 -0.003
-1.766 -2.198 4.075
Te Ru In
2 1 1
direct
0.500 0.500 0.000
0.500 0.000 0.500
0.000 0.500 0.500
0.000 0.000 0.000



Record 2
In2TeRu (GGA-PBEsol, optimized geometry); DOS(E_F) = 3.222 states/eV per cell; V = 20.4 A^3/atom; energy relative to the elements, uncorrected = 0.382 eV per atom; VASP energy = -4.534 eV per atom
1.0
-1.849 2.076 2.008
2.067 -2.102 4.075
2.790 3.915 -1.478
In Ru Te
2 1 1
direct
0.000 0.500 0.000
0.000 0.000 0.500
0.500 0.000 0.000
0.500 0.500 0.500



Record 3
In2TeRu (GGA-PBEsol, optimized geometry); DOS(E_F) = 2.594 states/eV per cell; V = 20.7 A^3/atom; energy relative to the elements, uncorrected = 0.411 eV per atom; VASP energy = -4.505 eV per atom
1.0
-2.938 -1.494 -1.813
2.821 -3.216 -1.922
-0.786 -2.861 3.632
In Ru Te
2 1 1
direct
0.000 0.500 0.000
0.000 0.000 0.500
0.500 0.500 0.500
0.500 0.000 0.000



Record 4
InTe2Ru (GGA-PBEsol, optimized geometry); DOS(E_F) = 2.846 states/eV per cell; V = 23.0 A^3/atom; energy relative to the elements, uncorrected = 0.044 eV per atom; VASP energy = -5.008 eV per atom
1.0
-0.262 2.152 -2.275
-3.100 0.146 0.494
1.315 6.770 6.251
Ru Te In
1 2 1
direct
0.500 0.500 0.761
0.500 0.500 0.267
0.000 0.000 0.919
0.000 0.000 0.553